1.
This record from Alexandria describes a relaxed structure of Na3NpI6. The functional is PBE-GGA.

Results
Energy relative to the elements, uncorrected: -1.0723 eV/atom
D(E_F): 4.05 states/eV/f.u.
Spin magnetization: 4.000 μB per formula unit
Raw total energy: -3.69 eV/atom
Mass density: 4.463 g/cm3

abc: 7.8440 8.4732 14.2652
angles: 90.00 123.10 90.00
Last column: nearest neighbours and their distance in Å.
Space group P2_1/c (No. 14)
Asymmetric unit:
Na 0.0000 0.0000 0.0000  6 I 3.17-3.37
Na 0.2056 0.0969 0.7472  6 I 3.26-3.59
Np 0.5000 0.0000 0.5000  6 I 3.10-3.14
I 0.1010 0.1822 0.4220  1 Np 3.10, 2 Na 3.17-3.30
I 0.2572 0.6846 0.4248  1 Np 3.11, 2 Na 3.17-3.34
I 0.4097 0.0620 0.2597  1 Np 3.14, 3 Na 3.26-3.37


2.
This record from Alexandria describes a relaxed structure of NaNp2I8. The functional is PBE-GGA.

Results
Energy relative to the elements, uncorrected: -0.7554 eV/atom
D(E_F): 16.04 states/eV/f.u.
Spin magnetization: 7.000 μB per formula unit
Raw total energy: -4.36 eV/atom
Mass density: 4.136 g/cm3

abc: 16.3153 12.0635 6.1703
angles: 90.00 90.87 90.00
Last column: nearest neighbours and their distance in Å.
Space group C2/m (No. 12)
Asymmetric unit:
Na 0.0000 0.0000 0.0000  4 I 3.24
Np 0.2189 0.0000 0.7436  5 I 2.90-3.12
I 0.1031 0.5000 0.2546  1 Np 2.90
I 0.1036 0.1881 0.7490  1 Np 2.95, 1 Na 3.24
I 0.2154 0.0000 0.2382  2 Np 3.05-3.12


3.
This record from Alexandria describes a relaxed structure of NaNpI6. The functional is PBE-GGA.

Results
Energy relative to the elements, uncorrected: -0.7653 eV/atom
D(E_F): 8.03 states/eV/f.u.
Spin magnetization: 2.000 μB per formula unit
Raw total energy: -3.71 eV/atom
Mass density: 4.673 g/cm3

abc: 7.7312 7.7312 21.0379
angles: 90.00 90.00 120.00
Last column: nearest neighbours and their distance in Å.
Space group R-3 (No. 148, hexagonal axes)
Asymmetric unit:
Na 0.0000 0.0000 0.0000  6 I 3.29
Np 0.0000 0.0000 0.5000  6 I 2.94
I 0.0135 0.6964 0.4196  1 Np 2.94


4.
This record from Alexandria describes a relaxed structure of Na2NpIO8. The functional is PBE-GGA.

Results
Energy relative to the elements, uncorrected: -1.4503 eV/atom
Spin magnetization: 0.000 μB per formula unit
Raw total energy: -6.18 eV/atom
Mass density: 5.129 g/cm3

abc: 5.1440 6.5958 5.1441
angles: 90.00 93.86 90.00
Last column: nearest neighbours and their distance in Å.
Space group P2/m (No. 10)
Asymmetric unit:
Na 0.0000 0.2344 0.0000  6 O 2.30-2.47
Np 0.5000 0.5000 0.5000  2 O 1.83
I 0.5000 0.0000 0.5000  6 O 1.81-1.98
O 0.2408 0.5000 0.2379  1 Np 1.83
O 0.2435 0.0000 0.2402  1 I 1.81
O 0.3279 0.2283 0.6695  1 I 1.98, 1 Np 2.20


5.
This record from Alexandria describes a relaxed structure of Na2NpIO6. The functional is PBE-GGA.

Results
Energy relative to the elements, uncorrected: -1.6523 eV/atom
D(E_F): 4.25 states/eV/f.u.
Spin magnetization: 2.000 μB per formula unit
Raw total energy: -6.34 eV/atom
Mass density: 5.508 g/cm3

abc: 5.9203 5.9203 4.3512
angles: 90.00 90.00 90.00
Last column: nearest neighbours and their distance in Å.
Space group P4mm (No. 99)
Asymmetric unit:
Na 0.0000 0.5000 0.0000  8 O 2.69-2.99
Np 0.0000 0.0000 0.4101  6 O 2.12-2.19
I 0.5000 0.5000 0.4027  1 O 1.83
O 0.0000 0.0000 0.9078  2 Np 2.17-2.19
O 0.2532 0.2532 0.3879  1 I 2.07, 1 Np 2.12
O 0.5000 0.5000 0.9812  1 I 1.83


6.
This record from Alexandria describes a relaxed structure of RbNaNpI6. The functional is PBE-GGA.

Results
Energy relative to the elements, uncorrected: -1.0533 eV/atom
D(E_F): 4.44 states/eV/f.u.
Spin magnetization: 3.000 μB per formula unit
Raw total energy: -3.78 eV/atom
Mass density: 3.992 g/cm3

abc: 8.1362 8.1362 16.0644
angles: 90.00 90.00 120.00
Last column: nearest neighbours and their distance in Å.
Space group P-31c (No. 163)
Asymmetric unit:
Rb 0.0000 0.0000 0.0000  6 I 3.74
Na 0.3333 0.6667 0.2500  6 I 3.25
Np 0.3333 0.6667 0.7500  6 I 3.02
I 0.0222 0.3764 0.6406  1 Np 3.02, 1 Na 3.25


7.
This record from Alexandria describes a relaxed structure of Rb2NaNpI8. The functional is PBE-GGA.

Results
Energy relative to the elements, uncorrected: -0.9977 eV/atom
D(E_F): 7.29 states/eV/f.u.
Spin magnetization: 1.984 μB per formula unit
Raw total energy: -3.38 eV/atom
Mass density: 3.923 g/cm3

abc: 7.0250 9.0383 10.1286
angles: 98.87 99.03 100.98
Last column: nearest neighbours and their distance in Å.
Space group P-1 (No. 2)
Asymmetric unit:
Rb 0.2227 0.0443 0.3102  6 I 3.63-3.87
Na 0.0000 0.5000 0.5000  2 I 3.04
Np 0.0000 0.5000 0.0000  6 I 2.93-2.97
I 0.1901 0.3238 0.8130  1 Np 2.93
I 0.2249 0.8329 0.5868  1 Na 3.04
I 0.2639 0.4505 0.2413  1 Np 2.97
I 0.2828 0.7805 0.9928  1 Np 2.93


8.
This record from Alexandria describes a relaxed structure of Na2NpSnI8. The functional is PBE-GGA.

Results
Energy relative to the elements, uncorrected: -0.8372 eV/atom
D(E_F): 4.32 states/eV/f.u.
Spin magnetization: 3.036 μB per formula unit
Raw total energy: -3.50 eV/atom
Mass density: 4.436 g/cm3

abc: 7.3328 9.3710 7.7399
angles: 90.00 94.28 90.00
Last column: nearest neighbours and their distance in Å.
Space group P2/m (No. 10)
Asymmetric unit:
Na 0.0000 0.2427 0.0000  4 I 3.09-3.25
Np 0.5000 0.5000 0.5000  6 I 3.02-3.03
Sn 0.5000 0.0000 0.5000  6 I 3.11-3.23
I 0.2410 0.0000 0.1633  2 Na 3.09, 1 Sn 3.11
I 0.2483 0.5000 0.1733  1 Np 3.02, 2 Na 3.25
I 0.2756 0.2646 0.6474  1 Np 3.03, 1 Sn 3.23


9.
This record from Alexandria describes a relaxed structure of NaNpSn2I8. The functional is PBE-GGA.

Results
Energy relative to the elements, uncorrected: -0.7173 eV/atom
D(E_F): 4.54 states/eV/f.u.
Spin magnetization: 4.000 μB per formula unit
Raw total energy: -3.61 eV/atom
Mass density: 4.758 g/cm3

abc: 7.3478 9.2695 7.7515
angles: 90.00 91.06 90.00
Last column: nearest neighbours and their distance in Å.
Space group P2/m (No. 10)
Asymmetric unit:
Na 0.0000 0.0000 0.0000  6 I 3.21-3.36
Np 0.0000 0.5000 0.0000  6 I 3.11-3.13
Sn 0.5000 0.2438 0.5000  6 I 3.09-3.34
I 0.2407 0.5000 0.6713  1 Np 3.13, 2 Sn 3.34
I 0.2464 0.2570 0.1542  1 Np 3.11, 1 Na 3.21, 1 Sn 3.24
I 0.2627 0.0000 0.6502  2 Sn 3.09, 1 Na 3.36


10.
This record from Alexandria describes a relaxed structure of Na2NpTlI6. The functional is PBE-GGA.

Results
Energy relative to the elements, uncorrected: -0.9701 eV/atom
D(E_F): 3.95 states/eV/f.u.
Spin magnetization: 4.000 μB per formula unit
Raw total energy: -3.69 eV/atom
Mass density: 4.739 g/cm3

abc: 8.1509 8.1567 8.9362
angles: 90.02 117.13 119.97
Last column: nearest neighbours and their distance in Å.
Space group P1 (No. 1)
Asymmetric unit:
Na 0.0000 0.0000 0.0000  6 I 3.26-3.33
Na 0.0230 0.5118 0.5348  6 I 3.22-3.31
Np 0.3736 0.1866 0.5608  6 I 3.13
Tl 0.3972 0.6984 0.0966  6 I 3.45-3.61
I 0.1643 0.3779 0.2996  1 Np 3.13, 2 Na 3.23-3.33, 1 Tl 3.45
I 0.2036 0.2693 0.7834  1 Np 3.13, 2 Na 3.26-3.31
I 0.5132 0.1347 0.2997  1 Np 3.13, 2 Na 3.23-3.33, 1 Tl 3.45
I 0.5137 0.9343 0.7835  1 Np 3.13, 2 Na 3.26-3.31
I 0.8484 0.5792 0.7835  1 Np 3.13, 2 Na 3.26-3.31
I 0.9211 0.7864 0.2997  1 Np 3.13, 2 Na 3.22-3.33, 1 Tl 3.45


11.
This record from Alexandria describes a relaxed structure of Na2NpTlI8. The functional is PBE-GGA.

Results
Energy relative to the elements, uncorrected: -0.8097 eV/atom
D(E_F): 8.08 states/eV/f.u.
Spin magnetization: 2.815 μB per formula unit
Raw total energy: -3.34 eV/atom
Mass density: 4.620 g/cm3

abc: 7.2153 10.0003 7.5156
angles: 90.00 95.18 90.00
Last column: nearest neighbours and their distance in Å.
Space group P2/m (No. 10)
Asymmetric unit:
Na 0.0000 0.2408 0.0000  6 I 3.14-3.43
Np 0.5000 0.0000 0.5000  6 I 2.99
Tl 0.5000 0.5000 0.5000  6 I 3.19-3.51
I 0.1878 0.5000 0.1708  2 Na 3.14, 1 Tl 3.19
I 0.2484 0.0000 0.1608  1 Np 2.99, 2 Na 3.17
I 0.2744 0.2162 0.6520  1 Np 2.99


12.
This record from Alexandria describes a relaxed structure of NaNpTlI6. The functional is PBE-GGA.

Results
Energy relative to the elements, uncorrected: -0.8604 eV/atom
D(E_F): 4.30 states/eV/f.u.
Spin magnetization: 3.000 μB per formula unit
Raw total energy: -3.74 eV/atom
Mass density: 4.813 g/cm3

abc: 8.0658 8.0658 15.0133
angles: 90.00 90.00 120.00
Last column: nearest neighbours and their distance in Å.
Space group P-31c (No. 163)
Asymmetric unit:
Na 0.3333 0.6667 0.2500  6 I 3.24
Np 0.3333 0.6667 0.7500  6 I 3.02
Tl 0.0000 0.0000 0.0000  6 I 3.53
I 0.0219 0.3707 0.6331  1 Np 3.02, 1 Na 3.24


13.
This record from Alexandria describes a relaxed structure of NaI2O2. The functional is PBE-GGA.

Results
Energy relative to the elements, uncorrected: -0.3894 eV/atom
D(E_F): 1.42 states/eV/f.u.
Spin magnetization: 0.000 μB per formula unit
Raw total energy: -3.26 eV/atom
Mass density: 3.741 g/cm3

abc: 4.1425 4.1425 7.9882
angles: 90.00 90.00 90.00
Last column: nearest neighbours and their distance in Å.
Space group P4/mmm (No. 123)
Asymmetric unit:
Na 0.0000 0.0000 0.0000  4 I 2.93
I 0.5000 0.5000 0.0000  4 Na 2.93
I 0.5000 0.5000 0.5000  4 O 2.07
O 0.0000 0.5000 0.5000  2 I 2.07


14.
This record from Alexandria describes a relaxed structure of Na7IO2. The functional is PBE-GGA.

Results
Energy relative to the elements, uncorrected: -0.8417 eV/atom
D(E_F): 1.92 states/eV/f.u.
Spin magnetization: 0.000 μB per formula unit
Raw total energy: -2.91 eV/atom
Mass density: 2.184 g/cm3

abc: 7.7886 13.7749 4.5327
angles: 90.00 90.00 90.00
Last column: nearest neighbours and their distance in Å.
Space group Cmmm (No. 65)
Asymmetric unit:
Na 0.0000 0.0000 0.0000  2 O 2.98, 4 Na 3.15
Na 0.0000 0.1917 0.5000  2 O 2.29
Na 0.2001 0.3462 0.0000  2 O 2.38-2.49
I 0.0000 0.5000 0.5000  8 Na 3.47
O 0.0000 0.2160 0.0000  6 Na 2.29-2.49


15.
This record from Alexandria describes a relaxed structure of Na5I4O. The functional is PBE-GGA.

Results
Energy relative to the elements, uncorrected: -1.0808 eV/atom
D(E_F): 5.55 states/eV/f.u.
Spin magnetization: 1.001 μB per formula unit
Raw total energy: -2.86 eV/atom
Mass density: 3.450 g/cm3

abc: 9.7886 9.7886 6.4153
angles: 90.00 90.00 90.00
Last column: nearest neighbours and their distance in Å.
Space group I4 (No. 79)
Asymmetric unit:
Na 0.0000 0.0000 0.0000  1 O 2.39
Na 0.0800 0.7592 0.5896  1 O 2.50
I 0.0953 0.7024 0.0928  5 Na 3.12-3.28
O 0.0000 0.0000 0.6273  5 Na 2.39-2.50


16.
This record from Alexandria describes a relaxed structure of Na3IO. The functional is PBE-GGA.

Results
Energy relative to the elements, uncorrected: -0.9683 eV/atom
D(E_F): 0.00 states/eV/f.u.
Spin magnetization: 0.000 μB per formula unit
Raw total energy: -3.06 eV/atom
Mass density: 2.299 g/cm3

abc: 7.5570 7.5570 18.5633
angles: 90.00 90.00 120.00
Last column: nearest neighbours and their distance in Å.
Space group R-3c (No. 167, hexagonal axes)
Asymmetric unit:
Na 0.0000 0.2805 0.2500  1 O 2.12
I 0.0000 0.0000 0.0000  6 Na 3.15
O 0.0000 0.0000 0.2500  3 Na 2.12


17.
This record from Alexandria describes a relaxed structure of NaI3O. The functional is PBE-GGA.

Results
Energy relative to the elements, uncorrected: -0.1336 eV/atom
D(E_F): 2.65 states/eV/f.u.
Spin magnetization: 0.000 μB per formula unit
Raw total energy: -2.32 eV/atom
Mass density: 4.905 g/cm3

abc: 5.2181 5.2181 5.2181
angles: 90.00 90.00 90.00
Last column: nearest neighbours and their distance in Å.
Space group Pm-3m (No. 221)
Asymmetric unit:
Na 0.0000 0.0000 0.0000  12 I 3.69
I 0.0000 0.5000 0.5000  2 O 2.61
O 0.5000 0.5000 0.5000  6 I 2.61


18.
This record from Alexandria describes a relaxed structure of NaI3O. The functional is PBE-GGA.

Results
Energy relative to the elements, uncorrected: 0.7236 eV/atom
D(E_F): 20.84 states/eV/f.u.
Spin magnetization: 0.005 μB per formula unit
Raw total energy: -1.46 eV/atom
Mass density: 3.495 g/cm3

abc: 5.8420 5.8420 5.8420
angles: 90.00 90.00 90.00
Last column: nearest neighbours and their distance in Å.
Space group Pm-3m (No. 221)
Asymmetric unit:
Na 0.0000 0.0000 0.0000  6 I 2.92
I 0.0000 0.0000 0.5000  2 Na 2.92
O 0.5000 0.5000 0.5000  12 I 4.13


19.
This record from Alexandria describes a relaxed structure of NaIO4. The functional is PBE-GGA.

Results
Energy relative to the elements, uncorrected: -0.3201 eV/atom
D(E_F): 3.32 states/eV/f.u.
Spin magnetization: 1.542 μB per formula unit
Raw total energy: -4.10 eV/atom
Mass density: 2.964 g/cm3

abc: 5.0586 6.3029 8.4513
angles: 109.03 104.36 97.89
Last column: nearest neighbours and their distance in Å.
Space group P-1 (No. 2)
Asymmetric unit:
Na 0.0747 0.3241 0.1501  6 O 2.44-2.66
I 0.4147 0.1658 0.8279  2 O 2.20
O 0.0197 0.2687 0.8408  1 O 1.46
O 0.1772 0.9242 0.1589  1 O 1.46
O 0.2077 0.6002 0.6503  1 O 1.26
O 0.4441 0.5580 0.6510  1 O 1.26


20.
This record from Alexandria describes a relaxed structure of Na3IO. The functional is PBE-GGA.

Results
Energy relative to the elements, uncorrected: -1.2455 eV/atom
Spin magnetization: 0.031 μB per formula unit
Raw total energy: -3.34 eV/atom
Mass density: 3.168 g/cm3

abc: 6.8137 6.8137 16.5713
angles: 90.00 90.00 120.00
Last column: nearest neighbours and their distance in Å.
Space group P6_3/mmc (No. 194)
Asymmetric unit:
Na 0.0569 0.5285 0.2500  2 O 2.33
Na 0.1657 0.3314 0.0794  2 O 2.30-2.36
I 0.0000 0.0000 0.2500  12 Na 3.42-3.44
I 0.3333 0.6667 0.6007  12 Na 3.38-3.58
O 0.0000 0.0000 0.0000  6 Na 2.36
O 0.3333 0.6667 0.1497  6 Na 2.30-2.33